[1]
Compound: MnCoBr2
Source: Alexandria via LeMat-Bulk
Functional: PBE
Structure: relaxed

CIF file:
```
data_MnCoBr2
_cell_length_a 4.664
_cell_length_b 4.664
_cell_length_c 3.336
_cell_angle_alpha 90.00
_cell_angle_beta 90.00
_cell_angle_gamma 90.00
_space_group_name_H-M_alt 'P 4/m m m'
_space_group_IT_number 123
_space_group_name_Hall '-P 4 2'
loop_
_atom_site_label
_atom_site_fract_x
_atom_site_fract_y
_atom_site_fract_z
Mn1 0.000 0.000 0.000
Co1 0.500 0.500 0.000
Br1 0.000 0.500 0.500
```

Computed properties:
- offset from the most stable computed form (meV/atom) = 557
- total magnetization (μB per cell) = 6.05
- N(E_F) (states/eV per cell) = 3.59
- raw formation energy (meV/atom) = 472



[2]
Compound: Mn4CoBr
Source: Alexandria via LeMat-Bulk
Functional: PBE
Structure: relaxed

CIF file:
```
data_Mn4CoBr
_cell_length_a 6.868
_cell_length_b 6.868
_cell_length_c 6.868
_cell_angle_alpha 90.00
_cell_angle_beta 90.00
_cell_angle_gamma 90.00
_space_group_name_H-M_alt 'F -4 3 m'
_space_group_IT_number 216
_space_group_name_Hall 'F -4 2 3'
loop_
_atom_site_label
_atom_site_fract_x
_atom_site_fract_y
_atom_site_fract_z
Mn1 0.124 0.124 0.376
Co1 0.250 0.250 0.750
Br1 0.000 0.000 0.000
```

Computed properties:
- total magnetization (μB per cell) = 37.86
- N(E_F) (states/eV per cell) = 38.02
- raw formation energy (meV/atom) = 862